(P)
# PBE Ac2GdIn, optimized geometry
# Crystal system: tetragonal
data_Ac2GdIn
_cell_length_a 5.2674
_cell_length_b 5.2674
_cell_length_c 5.0953
_cell_angle_alpha 90.00
_cell_angle_beta 90.00
_cell_angle_gamma 90.00
_space_group_name_H-M_alt 'P 4/m m m'
_space_group_IT_number 123
_space_group_name_Hall '-P 4 2'
loop_
_atom_site_label
_atom_site_type_symbol
_atom_site_fract_x
_atom_site_fract_y
_atom_site_fract_z
Ac1 Ac 0.0000 0.5000 0.0000
Gd1 Gd 0.0000 0.0000 0.5000
In1 In 0.5000 0.5000 0.5000

=====

(Q)
# PBE Ac2GdIn, optimized geometry
# Crystal system: cubic
data_Ac2GdIn
_cell_length_a 8.3052
_cell_length_b 8.3052
_cell_length_c 8.3052
_cell_angle_alpha 90.00
_cell_angle_beta 90.00
_cell_angle_gamma 90.00
_space_group_name_H-M_alt 'F m -3 m'
_space_group_IT_number 225
_space_group_name_Hall '-F 4 2 3'
loop_
_atom_site_label
_atom_site_type_symbol
_atom_site_fract_x
_atom_site_fract_y
_atom_site_fract_z
Ac1 Ac 0.2500 0.2500 0.2500
Gd1 Gd 0.0000 0.0000 0.0000
In1 In 0.0000 0.0000 0.5000

=====

(R)
# PBE Ac2GdIn, optimized geometry
# Crystal system: tetragonal
data_Ac2GdIn
_cell_length_a 4.0660
_cell_length_b 4.0660
_cell_length_c 8.9679
_cell_angle_alpha 90.00
_cell_angle_beta 90.00
_cell_angle_gamma 90.00
_space_group_name_H-M_alt 'P 4/m m m'
_space_group_IT_number 123
_space_group_name_Hall '-P 4 2'
loop_
_atom_site_label
_atom_site_type_symbol
_atom_site_fract_x
_atom_site_fract_y
_atom_site_fract_z
Ac1 Ac 0.0000 0.0000 0.2277
Gd1 Gd 0.5000 0.5000 0.5000
In1 In 0.5000 0.5000 0.0000

=====

Result of the stability comparison: (Q) is the least stable of them.